# MgTl2AgF6 GGA-PBE relaxed
# * energy relative to the elements, uncorrected: -2036 kJ/mol of formula units
# * total moment: 1.03 μB per formula unit
# * total energy: -41.51 eV per cell
data_MgTl2AgF6
_chemical_formula_sum 'Mg1 Tl2 Ag1 F6'
_space_group_name_H-M_alt 'P 1'
_space_group_IT_number 1
_space_group_name_Hall 'P 1'
_cell_length_a 6.225
_cell_length_b 6.225
_cell_length_c 6.225
_cell_angle_alpha 123.25
_cell_angle_beta 123.25
_cell_angle_gamma 84.46
loop_
_atom_site_label
_atom_site_type_symbol
_atom_site_fract_x
_atom_site_fract_y
_atom_site_fract_z
_atom_site_occupancy
Mg1 Mg 0.000 0.000 0.000 1
Tl1 Tl 0.250 0.750 0.500 1
Tl2 Tl 0.750 0.250 0.500 1
Ag1 Ag 0.500 0.500 0.000 1
F1 F 0.216 0.216 0.000 1
F2 F 0.244 0.244 0.488 1
F3 F 0.244 0.756 0.000 1
F4 F 0.756 0.244 0.000 1
F5 F 0.756 0.756 0.512 1
F6 F 0.784 0.784 0.000 1